[1]
# meta-GGA SCAN LiZn2P, PBEsol geometry
data_LiZn2P
_cell_length_a 3.460
_cell_length_b 4.154
_cell_length_c 8.139
_cell_angle_alpha 90.00
_cell_angle_beta 90.00
_cell_angle_gamma 90.00
_symmetry_space_group_name_H-M 'C m m m'
_symmetry_Int_Tables_number 65
_symmetry_space_group_name_Hall '-C 2 2'
loop_
_atom_site_label
_atom_site_type_symbol
_atom_site_fract_x
_atom_site_fract_y
_atom_site_fract_z
Li1 Li 0.000 0.000 0.000
Zn1 Zn 0.000 0.500 0.248
P1 P 0.000 0.000 0.500
# DOS at the Fermi energy (states/eV/f.u.): 1.2
# Formation energy (eV per atom): 0.094
# Spin magnetization (μB per formula unit): 0.000

[2]
# meta-GGA SCAN La5Pb, PBEsol geometry
data_La5Pb
_cell_length_a 4.922
_cell_length_b 15.749
_cell_length_c 4.967
_cell_angle_alpha 90.00
_cell_angle_beta 90.00
_cell_angle_gamma 90.00
_symmetry_space_group_name_H-M 'C m m m'
_symmetry_Int_Tables_number 65
_symmetry_space_group_name_Hall '-C 2 2'
loop_
_atom_site_label
_atom_site_type_symbol
_atom_site_fract_x
_atom_site_fract_y
_atom_site_fract_z
La1 La 0.000 0.000 0.000
La2 La 0.000 0.165 0.500
La3 La 0.000 0.342 0.000
Pb1 Pb 0.000 0.500 0.500
# DOS at the Fermi energy (states/eV/f.u.): 7.2
# Formation energy (eV per atom): -0.321
# Spin magnetization (μB per formula unit): 0.000
# E above lowest polymorph (meV per atom): 0

[3]
# meta-GGA SCAN ScSiPd, PBEsol geometry
data_ScSiPd
_cell_length_a 6.503
_cell_length_b 3.969
_cell_length_c 7.470
_cell_angle_alpha 90.00
_cell_angle_beta 90.00
_cell_angle_gamma 90.00
_symmetry_space_group_name_H-M 'P n m a'
_symmetry_Int_Tables_number 62
_symmetry_space_group_name_Hall '-P 2ac 2n'
loop_
_atom_site_label
_atom_site_type_symbol
_atom_site_fract_x
_atom_site_fract_y
_atom_site_fract_z
Sc1 Sc 0.018 0.250 0.185
Si1 Si 0.225 0.750 0.384
Pd1 Pd 0.158 0.250 0.567
# DOS at the Fermi energy (states/eV/f.u.): 2.1
# Spin magnetization (μB per formula unit): 0.000
# ΔE_f (raw) (meV per atom): -1061

[4]
# meta-GGA SCAN CsGe2Pt2, PBEsol geometry
data_CsGe2Pt2
_cell_length_a 3.987
_cell_length_b 3.987
_cell_length_c 15.074
_cell_angle_alpha 90.00
_cell_angle_beta 90.00
_cell_angle_gamma 90.00
_symmetry_space_group_name_H-M 'I 4/m m m'
_symmetry_Int_Tables_number 139
_symmetry_space_group_name_Hall '-I 4 2'
loop_
_atom_site_label
_atom_site_type_symbol
_atom_site_fract_x
_atom_site_fract_y
_atom_site_fract_z
Cs1 Cs 0.000 0.000 0.000
Ge1 Ge 0.000 0.000 0.350
Pt1 Pt 0.000 0.500 0.250
# DOS at the Fermi energy (states/eV/f.u.): 1.4
# Formation energy (eV per atom): -0.574
# Spin magnetization (μB per formula unit): 0.000

[5]
# meta-GGA SCAN La5AgPb3, PBEsol geometry
data_La5AgPb3
_cell_length_a 9.8863
_cell_length_b 9.8863
_cell_length_c 6.9708
_cell_angle_alpha 90.00
_cell_angle_beta 90.00
_cell_angle_gamma 120.00
_symmetry_space_group_name_H-M 'P 63/m c m'
_symmetry_Int_Tables_number 193
_symmetry_space_group_name_Hall '-P 6c 2'
loop_
_atom_site_label
_atom_site_type_symbol
_atom_site_fract_x
_atom_site_fract_y
_atom_site_fract_z
La1 La 0.0000 0.2726 0.2500
La2 La 0.3333 0.6667 0.0000
Ag1 Ag 0.0000 0.0000 0.0000
Pb1 Pb 0.0000 0.3778 0.7500
# DOS at the Fermi energy (states/eV/f.u.): 4.8
# Formation energy (eV per atom): -0.787
# Spin magnetization (μB per formula unit): 1.903

[6]
# meta-GGA SCAN Sr2LiRe, PBEsol geometry
data_Sr2LiRe
_cell_length_a 4.576
_cell_length_b 4.576
_cell_length_c 9.619
_cell_angle_alpha 90.00
_cell_angle_beta 90.00
_cell_angle_gamma 90.00
_symmetry_space_group_name_H-M 'I -4 m 2'
_symmetry_Int_Tables_number 119
_symmetry_space_group_name_Hall 'I -4 -2'
loop_
_atom_site_label
_atom_site_type_symbol
_atom_site_fract_x
_atom_site_fract_y
_atom_site_fract_z
Sr1 Sr 0.000 0.000 0.000
Sr2 Sr 0.000 0.500 0.250
Li1 Li 0.000 0.000 0.500
Re1 Re 0.000 0.500 0.750
# DOS at the Fermi energy (states/eV/f.u.): 2.9
# Formation energy (eV per atom): 1.036
# Spin magnetization (μB per formula unit): 1.599
# E above lowest polymorph (meV per atom): 43

[7]
# meta-GGA SCAN MoPRhC2, PBEsol geometry
data_MoPRhC2
_cell_length_a 3.811
_cell_length_b 3.811
_cell_length_c 5.303
_cell_angle_alpha 90.00
_cell_angle_beta 90.00
_cell_angle_gamma 90.00
_symmetry_space_group_name_H-M 'P 4/m m m'
_symmetry_Int_Tables_number 123
_symmetry_space_group_name_Hall '-P 4 2'
loop_
_atom_site_label
_atom_site_type_symbol
_atom_site_fract_x
_atom_site_fract_y
_atom_site_fract_z
Mo1 Mo 0.000 0.000 0.000
P1 P 0.500 0.500 0.500
Rh1 Rh 0.000 0.000 0.500
C1 C 0.000 0.500 0.000
# DOS at the Fermi energy (states/eV/f.u.): 3.6
# Formation energy (eV per atom): 1.900
# Spin magnetization (μB per formula unit): 0.001

[8]
# meta-GGA SCAN La2CuIr, PBEsol geometry
data_La2CuIr
_cell_length_a 7.107
_cell_length_b 7.107
_cell_length_c 7.107
_cell_angle_alpha 90.00
_cell_angle_beta 90.00
_cell_angle_gamma 90.00
_symmetry_space_group_name_H-M 'F m -3 m'
_symmetry_Int_Tables_number 225
_symmetry_space_group_name_Hall '-F 4 2 3'
loop_
_atom_site_label
_atom_site_type_symbol
_atom_site_fract_x
_atom_site_fract_y
_atom_site_fract_z
La1 La 0.250 0.250 0.250
Cu1 Cu 0.000 0.000 0.000
Ir1 Ir 0.000 0.000 0.500
# DOS at the Fermi energy (states/eV/f.u.): 2.9
# Formation energy (eV per atom): -0.509
# Spin magnetization (μB per formula unit): 0.000